Entry 1:
This record from Alexandria via LeMat-Bulk describes crystalline ErTcH at its relaxed geometry. The functional is PBE.

The value obtained for the total DFT energy (no corrections) is -17.7 eV per formula unit. The calculation puts the total magnetization at 0.0 Bohr magnetons per cell.

The space group is Fddd (No. 70, origin choice 2) and the conventional cell measures 2.976, 12.973 and 18.102 Å, with angles of 90.00, 90.00 and 90.00 degrees. The asymmetric unit holds Er at (0.125, 0.257, 0.125), Tc at (0.125, 0.125, 0.253) and H at (0.125, 0.125, 0.560).

---

Entry 2:
This record from Alexandria via LeMat-Bulk describes crystalline Er2TcH at its relaxed geometry. The functional is PBE.

The value obtained for the total DFT energy (no corrections) is -23.1 eV per formula unit. The calculation puts the total magnetization at 0.0 Bohr magnetons per cell.

The space group is R-3m (No. 166, hexagonal axes) and the conventional cell measures 3.4477, 3.4477 and 20.9781 Å, with angles of 90.00, 90.00 and 120.00 degrees. The asymmetric unit holds Er at (0.0000, 0.0000, 0.2384), Tc at (0.0000, 0.0000, 0.0000) and H at (0.0000, 0.0000, 0.5000).

---

Entry 3:
This record from Alexandria via LeMat-Bulk describes crystalline ErTcH4 at its relaxed geometry. The functional is PBE.

The value obtained for the total DFT energy (no corrections) is -30.1 eV per formula unit. The calculation puts the total magnetization at 0.0 Bohr magnetons per cell.

The space group is Ama2 (No. 40) and the conventional cell measures 8.721, 5.969 and 4.202 Å, with angles of 90.00, 90.00 and 90.00 degrees. The asymmetric unit holds Er at (0.000, 0.000, 0.000), Tc at (0.250, 0.151, 0.499), H at (0.051, 0.144, 0.499), H at (0.250, 0.404, 0.743) and H at (0.250, 0.412, 0.270).

---

Entry 4:
This record from Alexandria via LeMat-Bulk describes crystalline Er2TcH at its relaxed geometry. The functional is PBE.

The value obtained for the total DFT energy (no corrections) is -22.9 eV per formula unit. The calculation puts the total magnetization at 0.0 Bohr magnetons per cell.

The space group is P4/mmm (No. 123) and the conventional cell measures 3.300, 3.300 and 6.915 Å, with angles of 90.00, 90.00 and 90.00 degrees. The asymmetric unit holds Er at (0.000, 0.000, 0.240), Tc at (0.500, 0.500, 0.000) and H at (0.500, 0.500, 0.500).

---

Entry 5:
This record from Alexandria via LeMat-Bulk describes crystalline ErTeH2 at its relaxed geometry. The functional is PBE.

The value obtained for the total DFT energy (no corrections) is -16.8 eV per formula unit. The calculation puts the total magnetization at 0.0 Bohr magnetons per cell.

The space group is R-3m (No. 166, hexagonal axes) and the conventional cell measures 3.6137, 3.6137 and 16.1858 Å, with angles of 90.00, 90.00 and 120.00 degrees. The asymmetric unit holds Er at (0.0000, 0.0000, 0.0000), Te at (0.0000, 0.0000, 0.5000) and H at (0.0000, 0.0000, 0.3075).

---

Entry 6:
This record from Alexandria via LeMat-Bulk describes crystalline ErTeH at its relaxed geometry. The functional is PBE.

The value obtained for the total DFT energy (no corrections) is -14.2 eV per formula unit. The calculation puts the total magnetization at 0.0 Bohr magnetons per cell.

The space group is P4/nmm (No. 129, origin choice 2) and the conventional cell measures 3.917, 3.917 and 8.246 Å, with angles of 90.00, 90.00 and 90.00 degrees. The asymmetric unit holds Er at (0.250, 0.250, 0.140), Te at (0.250, 0.250, 0.694) and H at (0.250, 0.750, 0.000).